Density functional theory data (PBE) for a relaxed structure of TaCd2As.

```
TaCd2As
1.0
5.247 0.000 0.000
0.000 5.247 0.000
0.000 0.000 2.965
Ta Cd As
1 2 1
Direct
0.000 0.000 0.000
0.000 0.500 0.500
0.500 0.000 0.500
0.500 0.500 0.000
```

Summary:
formation energy	516	meV/atom



Density functional theory data (PBE) for a relaxed structure of TaCd2As2.

```
TaCd2As2
1.0
-1.743 1.743 9.196
1.743 -1.743 9.196
1.743 1.743 -9.196
Ta Cd As
1 2 2
Direct
0.000 0.000 0.000
0.403 0.403 0.000
0.597 0.597 0.000
0.250 0.750 0.500
0.750 0.250 0.500
```

Summary:
formation energy	627	meV/atom



Density functional theory data (PBE) for a relaxed structure of TaCd2As.

```
TaCd2As
1.0
3.387 0.000 0.000
0.000 3.387 0.000
0.000 0.000 7.035
Ta Cd As
1 2 1
Direct
0.000 0.000 0.000
0.000 0.000 0.441
0.500 0.500 0.717
0.500 0.500 0.149
```

Summary:
formation energy	9	meV/atom



Density functional theory data (PBE) for a relaxed structure of TaCd2As.

```
TaCd2As
1.0
4.945 -1.446 0.000
4.945 1.446 0.000
-0.576 0.000 5.542
Ta Cd As
1 2 1
Direct
0.000 0.000 0.000
0.263 0.263 0.706
0.515 0.515 0.491
0.738 0.738 0.159
```

Summary:
formation energy	198	meV/atom



Density functional theory data (PBE) for a relaxed structure of TaCdAs2.

```
TaCdAs2
1.0
-1.437 2.614 6.163
1.437 -2.614 6.163
1.437 2.614 -6.163
Ta Cd As
1 1 2
Direct
0.000 0.000 0.000
0.500 0.500 0.000
0.179 0.679 0.500
0.821 0.321 0.500
```

Summary:
formation energy	105	meV/atom



Density functional theory data (PBE) for a relaxed structure of TaCdAs2.

```
TaCdAs2
1.0
-3.067 3.067 5.796
3.067 -3.067 5.796
3.067 3.067 -5.796
Ta Cd As
2 2 4
Direct
0.000 0.000 0.000
0.750 0.250 0.500
0.250 0.750 0.500
0.500 0.500 0.000
0.095 0.625 0.970
0.375 0.345 0.470
0.655 0.125 0.030
0.875 0.905 0.530
```

Summary:
formation energy	136	meV/atom



Density functional theory data (PBE) for a relaxed structure of TaCdAs2.

```
TaCdAs2
1.0
-1.945 1.945 4.979
1.945 -1.945 4.979
1.945 1.945 -4.979
Ta Cd As
1 1 2
Direct
0.000 0.000 0.000
0.750 0.250 0.500
0.250 0.750 0.500
0.500 0.500 0.000
```

Summary:
formation energy	244	meV/atom



Density functional theory data (PBE) for a relaxed structure of TaCdAs2.

```
TaCdAs2
1.0
3.430 0.000 0.000
0.000 3.430 0.000
0.000 0.000 6.444
Ta Cd As
1 1 2
Direct
0.000 0.000 0.000
0.000 0.000 0.500
0.500 0.500 0.210
0.500 0.500 0.790
```

Summary:
formation energy	-141	meV/atom



Density functional theory data (PBE) for a relaxed structure of TaCd2As.

```
TaCd2As
1.0
3.003 0.000 0.000
0.000 3.003 0.000
0.000 0.000 9.260
Ta Cd As
1 2 1
Direct
0.000 0.000 0.000
0.000 0.000 0.508
0.500 0.500 0.765
0.500 0.500 0.199
```

Summary:
formation energy	150	meV/atom



Density functional theory data (PBE) for a relaxed structure of TaCd2As.

```
TaCd2As
1.0
-1.712 2.442 4.952
1.712 -2.442 4.952
1.712 2.442 -4.952
Ta Cd As
1 2 1
Direct
0.000 0.000 0.000
0.468 0.468 0.000
0.741 0.241 0.500
0.191 0.691 0.500
```

Summary:
formation energy	276	meV/atom



Density functional theory data (PBE) for a relaxed structure of TaCdAs2.

```
TaCdAs2
1.0
1.798 -2.373 0.000
1.798 2.373 0.000
0.000 0.000 10.371
Ta Cd As
1 1 2
Direct
0.000 0.000 0.000
0.000 0.000 0.500
0.500 0.500 0.188
0.500 0.500 0.812
```

Summary:
formation energy	-56	meV/atom



Density functional theory data (PBE) for a relaxed structure of TaCd2As.

```
TaCd2As
1.0
1.592 0.919 9.342
-1.592 0.919 9.342
0.000 -1.839 9.342
Ta Cd As
1 2 1
Direct
0.000 0.000 0.000
0.247 0.247 0.247
0.490 0.490 0.490
0.734 0.734 0.734
```

Summary:
formation energy	124	meV/atom